Record 1
SrPmZnPt | GGA-PBE | relaxed

Structure (extended XYZ):
```
4
Lattice="5.194 0.000 0.000 2.597 4.498 0.000 2.597 1.499 4.241" Properties=species:S:1:pos:R:3 pbc="T T T"
Sr 5.194 2.999 2.120
Pm 0.000 0.000 0.000
Pt 7.791 4.498 3.181
Zn 2.597 1.499 1.060
```

**Fermi-level density of states**: 2.772 states/eV per cell
**Space-group type**: F-43m
**Total magnetic moment**: 0.00 μB/cell
**Formation enthalpy at 0 K**: -2.23 eV per formula unit
**VASP energy**: -3.9947 eV/atom


Record 2
Tb3Pm3Pt2 | GGA-PBE | relaxed

Structure (extended XYZ):
```
16
Lattice="3.992 0.000 0.000 -1.996 6.493 0.000 0.000 0.000 17.706" Properties=species:S:1:pos:R:3 pbc="T T T"
Tb 0.000 4.468 9.613
Pt 1.996 3.143 11.040
Pt 0.000 3.350 2.187
Pm 1.996 2.097 4.426
Pm 0.000 0.634 15.867
Tb 1.996 2.025 0.760
Pt 1.996 3.143 15.519
Pm 0.000 0.634 10.692
Pm 1.996 5.858 7.014
Pm 0.000 4.395 13.279
Tb 0.000 5.065 4.426
Tb 0.000 4.468 16.946
Tb 1.996 1.427 13.279
Pt 0.000 3.350 6.666
Pm 1.996 5.858 1.839
Tb 1.996 2.025 8.093
```

**Fermi-level density of states**: 13.923 states/eV per cell
**Space-group type**: Cmcm
**Total magnetic moment**: 0.00 μB/cell
**Formation enthalpy at 0 K**: -4.58 eV per formula unit
**VASP energy**: -5.6003 eV/atom


Please write out number 2 again, unchanged.
Tb3Pm3Pt2 | GGA-PBE | relaxed

Structure (extended XYZ):
```
16
Lattice="3.992 0.000 0.000 -1.996 6.493 0.000 0.000 0.000 17.706" Properties=species:S:1:pos:R:3 pbc="T T T"
Tb 0.000 4.468 9.613
Pt 1.996 3.143 11.040
Pt 0.000 3.350 2.187
Pm 1.996 2.097 4.426
Pm 0.000 0.634 15.867
Tb 1.996 2.025 0.760
Pt 1.996 3.143 15.519
Pm 0.000 0.634 10.692
Pm 1.996 5.858 7.014
Pm 0.000 4.395 13.279
Tb 0.000 5.065 4.426
Tb 0.000 4.468 16.946
Tb 1.996 1.427 13.279
Pt 0.000 3.350 6.666
Pm 1.996 5.858 1.839
Tb 1.996 2.025 8.093
```

**Fermi-level density of states**: 13.923 states/eV per cell
**Space-group type**: Cmcm
**Total magnetic moment**: 0.00 μB/cell
**Formation enthalpy at 0 K**: -4.58 eV per formula unit
**VASP energy**: -5.6003 eV/atom